[1]
Compound: CaLuMn2O6
Source: Alexandria via LeMat-Bulk
Functional: PBE+U
Structure: optimized geometry

Values from the calculation:
* DFT total energy: -150.01 eV per cell
* volume: 221 Å³/cell
* D(E_F): 2.91 states/eV per cell
* magnetization: 0.700 μB/atom
* polymorph energy (0 for the lowest one): 0 meV/atom

abc: 7.5496 5.2874 5.5397
angles: 90.00 90.00 90.00
Fractional positions:
Ca 0.0000 0.2393 0.0000
Ca 0.0000 0.7607 0.5000
Lu 0.5000 0.2671 0.1270
Lu 0.5000 0.7329 0.6270
Mn 0.2500 0.2450 0.5567
Mn 0.2500 0.7550 0.0567
Mn 0.7500 0.2450 0.5567
Mn 0.7500 0.7550 0.0567
O 0.0000 0.3338 0.5846
O 0.0000 0.6662 0.0846
O 0.2157 0.0619 0.2467
O 0.2157 0.9381 0.7467
O 0.3137 0.4525 0.8540
O 0.3137 0.5475 0.3540
O 0.5000 0.1395 0.5179
O 0.5000 0.8605 0.0179
O 0.6863 0.4525 0.8540
O 0.6863 0.5475 0.3540
O 0.7843 0.0619 0.2467
O 0.7843 0.9381 0.7467


[2]
Compound: CaLuMn2O6
Source: Alexandria via LeMat-Bulk
Functional: PBE+U
Structure: optimized geometry

Values from the calculation:
* DFT total energy: -149.96 eV per cell
* volume: 221 Å³/cell
* D(E_F): 2.75 states/eV per cell
* magnetization: 0.700 μB/atom
* polymorph energy (0 for the lowest one): 2 meV/atom

abc: 7.5107 5.5477 5.3001
angles: 90.00 90.00 90.00
Fractional positions:
Ca 0.0000 0.1944 0.0000
Ca 0.5000 0.8056 0.5000
Lu 0.0000 0.6797 0.5342
Lu 0.5000 0.3203 0.0342
Mn 0.2503 0.2458 0.5130
Mn 0.2497 0.7542 0.0130
Mn 0.7497 0.2458 0.5130
Mn 0.7503 0.7542 0.0130
O 0.0000 0.2903 0.4226
O 0.0000 0.7793 0.1290
O 0.1951 0.9417 0.7019
O 0.1986 0.4621 0.8026
O 0.3014 0.5379 0.3026
O 0.3049 0.0583 0.2019
O 0.5000 0.2207 0.6290
O 0.5000 0.7097 0.9226
O 0.6951 0.0583 0.2019
O 0.6986 0.5379 0.3026
O 0.8014 0.4621 0.8026
O 0.8049 0.9417 0.7019


- DFT total energy of number 2 (CaLuMn2O6)?
  -149.96 eV per cell